Record 1
Material: Sr4LiGa
Method: DFT, PBE
State: optimized geometry

## Properties
space group	P4/mmm, No. 123
uncorrected energy	-2.055	eV/atom

Cell lengths 4.0660, 4.0660, 14.5470 Å; angles 90.00, 90.00, 90.00 degrees
Fractional coordinates of all 6 atoms:
1 Li 0.0000 0.0000 0.0000
2 Ga 0.5000 0.5000 0.5000
3 Sr 0.0000 0.0000 0.3748
4 Sr 0.5000 0.5000 0.1504
5 Sr 0.0000 0.0000 0.6252
6 Sr 0.5000 0.5000 0.8496

=====

Record 2
Material: SbPOs2
Method: DFT, PBE
State: optimized geometry

## Properties
offset from the most stable computed form	477	meV/atom
space group	P4/mmm, No. 123
formation energy (no corrections)	55	kJ/mol of atoms

Cell lengths 4.4282, 4.4282, 3.1775 Å; angles 90.00, 90.00, 90.00 degrees
Fractional coordinates of all 4 atoms:
1 Os 0.5000 0.0000 0.0000
2 Os 0.0000 0.5000 0.0000
3 Sb 0.0000 0.0000 0.5000
4 P 0.5000 0.5000 0.5000

=====

Record 3
Material: V2ReIr2
Method: DFT, PBE
State: optimized geometry

## Properties
offset from the most stable computed form	72	meV/atom
space group	P4/mbm, No. 127

Cell lengths 7.2750, 7.2750, 2.7275 Å; angles 90.00, 90.00, 90.00 degrees
Fractional coordinates of all 10 atoms:
1 V 0.1227 0.3773 0.0000
2 Ir 0.1753 0.6753 0.5000
3 Ir 0.6753 0.8247 0.5000
4 V 0.8773 0.6227 0.0000
5 Ir 0.8247 0.3247 0.5000
6 V 0.3773 0.8773 0.0000
7 Ir 0.3247 0.1753 0.5000
8 Re 0.5000 0.5000 0.0000
9 V 0.6227 0.1227 0.0000
10 Re 0.0000 0.0000 0.0000

=====

Record 4
Material: AuN4
Method: DFT, PBE
State: optimized geometry

## Properties
space group	Pm-3m, No. 221
formation energy (no corrections)	347	kJ/mol of atoms

Cell lengths 4.3181, 4.3181, 4.3181 Å; angles 90.00, 90.00, 90.00 degrees
Site moments in Bohr magnetons follow the coordinates.
Fractional coordinates of all 5 atoms:
1 N 0.5000 0.0000 0.5000  1.27
2 Au 0.5000 0.5000 0.5000  0.31
3 N 0.0000 0.5000 0.5000  1.27
4 N 0.0000 0.0000 0.0000  1.90
5 N 0.5000 0.5000 0.0000  1.27

=====

Record 5
Material: PmDy2Cd
Method: DFT, PBE
State: optimized geometry

## Properties
offset from the most stable computed form	58	meV/atom
space group	P4/mmm, No. 123

Cell lengths 4.8713, 4.8807, 4.8807 Å; angles 90.00, 90.00, 90.00 degrees
Fractional coordinates of all 4 atoms:
1 Dy 0.0000 0.5000 0.0000
2 Dy 0.0000 0.0000 0.5000
3 Cd 0.5000 0.0000 0.0000
4 Pm 0.5000 0.5000 0.5000

=====

Record 6
Material: Li2ZrWN4
Method: DFT, PBE
State: optimized geometry

## Properties
space group	Pmn2_1, No. 31
formation energy (no corrections)	-89	kJ/mol of atoms

Cell lengths 4.4297, 6.4822, 6.9350 Å; angles 90.00, 90.00, 90.00 degrees
Fractional coordinates of all 16 atoms:
1 N 0.9253 0.3242 0.2373
2 N 0.9317 0.8869 0.0000
3 N 0.9078 0.8344 0.5000
4 N 0.4078 0.1656 0.0000
5 W 0.9850 0.1813 0.0000
6 Li 0.9417 0.6485 0.2550
7 Li 0.9417 0.6485 0.7450
8 W 0.4850 0.8187 0.5000
9 Zr 0.4415 0.8364 0.0000
10 Zr 0.9415 0.1636 0.5000
11 N 0.4253 0.6758 0.7373
12 N 0.4317 0.1131 0.5000
13 N 0.4253 0.6758 0.2627
14 Li 0.4417 0.3515 0.7550
15 Li 0.4417 0.3515 0.2450
16 N 0.9253 0.3242 0.7627

=====

| no. | DOS at the Fermi energy (states/eV per cell) |
| --- | --- |
| 1 | 7.08 |
| 2 | 2.01 |
| 3 | 12.96 |
| 4 | 3.68 |
| 5 | 5.79 |
| 6 | 0.00 |